Entry from the Alexandria database: a geometry-optimized K3NbF8 structure (PBE).

Values from the calculation:
DFT total energy in eV per atom: -5.29
ΔE_f (raw) in kcal/mol of atoms: -67.64
DOS at the Fermi energy in states/eV/cell: 0.000

Cell lengths 5.844, 5.844, 5.844 Å; angles 90.00, 90.00, 90.00 degrees
Space group Pm-3m (No. 221)
Asymmetric unit:
1 K 0.000 0.000 0.500 x3
2 Nb 0.500 0.500 0.500 x1
3 F 0.295 0.295 0.295 x8